TaCrBr2 | PBE | optimized geometry

Cell: 3.162 3.162 8.816 Å, 90.00 90.00 90.00°
Fractional coordinates of all 4 atoms:
Ta (0.000, 0.000, 0.000)
Cr (0.500, 0.500, 0.783)
Br (0.000, 0.000, 0.592)
Br (0.500, 0.500, 0.185)

Properties
Its crystal system is tetragonal. The value obtained for the uncorrected formation energy is 109 meV per atom.

=====

Pt2Pb | PBE | optimized geometry

Cell: 4.228 4.228 8.068 Å, 90.00 90.00 120.00°
Fractional coordinates of all 6 atoms:
Pt (0.333, 0.667, 0.069)
Pt (0.333, 0.667, 0.431)
Pt (0.667, 0.333, 0.569)
Pt (0.667, 0.333, 0.931)
Pb (0.000, 0.000, 0.250)
Pb (0.000, 0.000, 0.750)

Properties
Its crystal system is hexagonal. For the formation energy, the calculation gives 0.0 eV/f.u.